Entry from Alexandria: a relaxed structure of CuMoAs2 (GGA-PBE).

```
data_CuMoAs2
_cell_length_a 3.5527
_cell_length_b 4.5714
_cell_length_c 7.5422
_cell_angle_alpha 90.00
_cell_angle_beta 90.00
_cell_angle_gamma 90.00
_space_group_name_H-M_alt 'I m m m'
_space_group_IT_number 71
_space_group_name_Hall '-I 2 2'
loop_
_atom_site_label
_atom_site_type_symbol
_atom_site_fract_x
_atom_site_fract_y
_atom_site_fract_z
_atom_site_occupancy
Cu1 Cu 0.0000 0.0000 0.0000 1
Mo1 Mo 0.0000 0.0000 0.5000 1
As1 As 0.0000 0.5000 0.2726 1
```

Summary:
**Energy**: -5.883 eV/atom
**Offset from the most stable computed form**: 191 meV/atom
**Calculated formation energy**: 0.174 eV/atom


Entry from Alexandria: a relaxed structure of NaAc2BiO6 (GGA-PBE).

```
data_NaAc2BiO6
_cell_length_a 5.9873
_cell_length_b 6.0624
_cell_length_c 6.0683
_cell_angle_alpha 118.84
_cell_angle_beta 119.20
_cell_angle_gamma 90.33
_space_group_name_H-M_alt 'P -1'
_space_group_IT_number 2
loop_
_space_group_symop_operation_xyz
'x,y,z'
'-x,-y,-z'
loop_
_atom_site_label
_atom_site_type_symbol
_atom_site_fract_x
_atom_site_fract_y
_atom_site_fract_z
_atom_site_occupancy
Na1 Na 0.0000 0.0000 0.0000 1
Ac1 Ac 0.2510 0.7250 0.4972 1
Bi1 Bi 0.5000 0.5000 0.0000 1
O1 O 0.1822 0.6614 0.8549 1
O2 O 0.2785 0.1535 0.5453 1
O3 O 0.3275 0.3341 0.1438 1
```

Summary:
**Energy**: -6.598 eV/atom


Entry from Alexandria: a relaxed structure of Dy2Mg3Zn3 (GGA-PBE).

```
data_Dy2Mg3Zn3
_cell_length_a 4.9008
_cell_length_b 4.9008
_cell_length_c 24.0747
_cell_angle_alpha 90.00
_cell_angle_beta 90.00
_cell_angle_gamma 120.00
_space_group_name_H-M_alt 'R 3 m'
_space_group_IT_number 160
_space_group_name_Hall 'R 3 -2"'
loop_
_atom_site_label
_atom_site_type_symbol
_atom_site_fract_x
_atom_site_fract_y
_atom_site_fract_z
_atom_site_occupancy
Dy1 Dy 0.0000 0.0000 0.0000 1
Dy2 Dy 0.0000 0.0000 0.4876 1
Mg1 Mg 0.0000 0.0000 0.2401 1
Mg2 Mg 0.0000 0.0000 0.6166 1
Mg3 Mg 0.0000 0.0000 0.7457 1
Zn1 Zn 0.0000 0.0000 0.1205 1
Zn2 Zn 0.0000 0.0000 0.3634 1
Zn3 Zn 0.0000 0.0000 0.8733 1
```

Summary:
**Energy**: -2.491 eV/atom
**Calculated formation energy**: -0.265 eV/atom


Entry from Alexandria: a relaxed structure of Ce2LuSi (GGA-PBE).

```
data_Ce2LuSi
_cell_length_a 3.8537
_cell_length_b 3.8537
_cell_length_c 6.9709
_cell_angle_alpha 90.00
_cell_angle_beta 90.00
_cell_angle_gamma 90.00
_space_group_name_H-M_alt 'P 4/m m m'
_space_group_IT_number 123
_space_group_name_Hall '-P 4 2'
loop_
_atom_site_label
_atom_site_type_symbol
_atom_site_fract_x
_atom_site_fract_y
_atom_site_fract_z
_atom_site_occupancy
Ce1 Ce 0.0000 0.0000 0.1941 1
Lu1 Lu 0.5000 0.5000 0.5000 1
Si1 Si 0.5000 0.5000 0.0000 1
```

Summary:
**Energy**: -5.727 eV/atom
**Offset from the most stable computed form**: 39 meV/atom


Entry from Alexandria: a relaxed structure of LuPPd (GGA-PBE).

```
data_LuPPd
_cell_length_a 6.8031
_cell_length_b 3.9415
_cell_length_c 7.7015
_cell_angle_alpha 90.00
_cell_angle_beta 90.00
_cell_angle_gamma 90.00
_space_group_name_H-M_alt 'P n m a'
_space_group_IT_number 62
loop_
_space_group_symop_operation_xyz
'x,y,z'
'-x,-y,-z'
'-x+1/2,-y,z+1/2'
'x+1/2,y,-z+1/2'
'x+1/2,-y+1/2,-z+1/2'
'-x+1/2,y+1/2,z+1/2'
'-x,y+1/2,-z'
'x,-y+1/2,z'
loop_
_atom_site_label
_atom_site_type_symbol
_atom_site_fract_x
_atom_site_fract_y
_atom_site_fract_z
_atom_site_occupancy
Lu1 Lu 0.0338 0.2500 0.1862 1
P1 P 0.2459 0.2500 0.8753 1
Pd1 Pd 0.1468 0.2500 0.5610 1
```

Summary:
**Energy**: -6.302 eV/atom
**Calculated formation energy**: -1.260 eV/atom